MgGaFeAs after structural relaxation. Source: OQMD via LeMat-Bulk, functional PBE.

Lattice parameters (Å, degrees): 4.466 4.466 4.466 60.00 60.00 60.00
Fractional coordinates of all 4 atoms:
Mg  0.000  0.000  0.000
Ga  0.750  0.750  0.750
Fe  0.500  0.500  0.500
As  0.250  0.250  0.250

Summary:
**Symmetry**: F-43m (216)
**Crystal system**: cubic
**Distance to the lowest polymorph of the same formula**: 0.00 eV/f.u.
**E_tot**: -4.29 eV/atom
**Size of the total moment**: 1.91 μB per cell



In2HgTe2Se2 after structural relaxation. Source: OQMD via LeMat-Bulk, functional PBE.

Lattice parameters (Å, degrees): 7.453 7.453 6.192 113.63 113.63 109.20
Fractional coordinates of all 7 atoms:
In  0.000  0.000  0.000
In  0.763  0.237  0.500
Hg  0.503  0.497  0.000
Te  0.359  0.069  0.492
Te  0.931  0.641  0.508
Se  0.123  0.386  0.020
Se  0.614  0.877  0.980

Summary:
**Symmetry**: C2 (5)
**Crystal system**: monoclinic
**Distance to the lowest polymorph of the same formula**: 0.01 eV/f.u.
**E_tot**: -3.09 eV/atom



HfZn after structural relaxation. Source: OQMD via LeMat-Bulk, functional PBE.

Lattice parameters (Å, degrees): 4.507 11.328 5.674 90.00 90.00 90.00
Fractional coordinates of all 16 atoms:
Hf  0.250  0.094  0.076
Hf  0.250  0.250  0.550
Hf  0.250  0.406  0.076
Hf  0.250  0.750  0.797
Hf  0.750  0.250  0.203
Hf  0.750  0.594  0.924
Hf  0.750  0.750  0.450
Hf  0.750  0.906  0.924
Zn  0.250  0.510  0.625
Zn  0.250  0.637  0.253
Zn  0.250  0.863  0.253
Zn  0.250  0.990  0.625
Zn  0.750  0.010  0.375
Zn  0.750  0.137  0.747
Zn  0.750  0.363  0.747
Zn  0.750  0.490  0.375

Summary:
**E_form**: -0.0984 eV/atom
**Symmetry**: Pmmn (59)
**Crystal system**: orthorhombic
**E_tot**: -5.71 eV/atom
**Size of the total moment**: 0.02 μB per cell



CsBeCo after structural relaxation. Source: OQMD via LeMat-Bulk, functional PBE.

Lattice parameters (Å, degrees): 4.554 4.554 4.554 60.00 60.00 60.00
Fractional coordinates of all 3 atoms:
Cs  0.000  0.000  0.000
Be  0.500  0.500  0.500
Co  0.750  0.750  0.750

Summary:
**Symmetry**: F-43m (216)
**Crystal system**: cubic
**E_tot**: -2.23 eV/atom
**Size of the total moment**: 0.01 μB per cell



Li2CuAgTe2 after structural relaxation. Source: OQMD via LeMat-Bulk, functional PBE.

Lattice parameters (Å, degrees): 7.781 4.435 14.816 90.00 99.18 90.00
Fractional coordinates of all 24 atoms:
Li  0.000  0.000  0.000
Li  0.008  0.500  0.496
Li  0.260  0.000  0.750
Li  0.275  0.500  0.255
Li  0.511  0.000  0.497
Li  0.523  0.500  0.010
Li  0.756  0.000  0.251
Li  0.763  0.500  0.755
Cu  0.325  0.500  0.436
Cu  0.579  0.500  0.193
Cu  0.821  0.000  0.433
Cu  0.821  0.500  0.940
Ag  0.070  0.500  0.686
Ag  0.075  0.000  0.190
Ag  0.327  0.000  0.943
Ag  0.575  0.000  0.688
Te  0.121  0.500  0.878
Te  0.140  0.000  0.382
Te  0.383  0.500  0.617
Te  0.405  0.000  0.135
Te  0.637  0.500  0.375
Te  0.650  0.000  0.880
Te  0.871  0.500  0.122
Te  0.880  0.000  0.612

Summary:
**Symmetry**: Pm (6)
**Crystal system**: monoclinic
**Distance to the lowest polymorph of the same formula**: 0.02 eV/f.u.
**E_tot**: -3.31 eV/atom



BaAgTeO after structural relaxation. Source: OQMD via LeMat-Bulk, functional PBE.

Lattice parameters (Å, degrees): 6.545 14.527 8.562 90.00 90.00 90.00
Fractional coordinates of all 32 atoms:
Ba  0.165  0.190  0.106
Ba  0.165  0.310  0.606
Ba  0.335  0.690  0.106
Ba  0.335  0.810  0.606
Ba  0.665  0.190  0.394
Ba  0.665  0.310  0.894
Ba  0.835  0.690  0.394
Ba  0.835  0.810  0.894
Ag  0.185  0.060  0.464
Ag  0.185  0.440  0.964
Ag  0.315  0.560  0.464
Ag  0.315  0.940  0.964
Ag  0.685  0.060  0.036
Ag  0.685  0.440  0.536
Ag  0.815  0.560  0.036
Ag  0.815  0.940  0.536
Te  0.002  0.051  0.766
Te  0.002  0.449  0.266
Te  0.498  0.551  0.766
Te  0.498  0.949  0.266
Te  0.502  0.051  0.734
Te  0.502  0.449  0.234
Te  0.998  0.551  0.734
Te  0.998  0.949  0.234
O  0.223  0.700  0.391
O  0.223  0.800  0.891
O  0.277  0.200  0.391
O  0.277  0.300  0.891
O  0.723  0.700  0.109
O  0.723  0.800  0.609
O  0.777  0.200  0.109
O  0.777  0.300  0.609

Summary:
**Symmetry**: Pbca (61)
**Crystal system**: orthorhombic
**E_tot**: -4.43 eV/atom